VASP calculation (PBEsol) on crystalline Cu2NiMo at its relaxed geometry.

The energy above the most stable polymorph in this dataset is 84.3 kJ/mol of formula units. The value obtained for the total energy is -25.5 eV per cell. Its formation energy is 0.271 eV/atom. The value obtained for the density is 9.697 g/cm3.

abc: 4.295 4.295 4.295
angles: 127.62 127.62 77.24
Element x y z (fractional)
Cu: 0.250 0.750 0.500
Cu: 0.750 0.250 0.500
Ni: 0.000 0.000 0.000
Mo: 0.500 0.500 0.000

=====

VASP calculation (PBEsol) on crystalline CuMoO4 at its relaxed geometry.

The energy above the most stable polymorph in this dataset is 3.8 kJ/mol of formula units. The value obtained for the total energy is -274.9 eV per cell. The value obtained for the density is 4.379 g/cm3.

abc: 6.799 8.212 9.873
angles: 97.48 106.87 100.64
Element x y z (fractional)
Cu: 0.039 0.112 0.257
Cu: 0.247 0.705 0.911
Cu: 0.447 0.295 0.508
Cu: 0.553 0.705 0.492
Cu: 0.753 0.295 0.089
Cu: 0.961 0.888 0.743
Mo: 0.020 0.726 0.402
Mo: 0.301 0.412 0.153
Mo: 0.483 0.957 0.744
Mo: 0.517 0.043 0.256
Mo: 0.699 0.588 0.847
Mo: 0.980 0.274 0.598
O: 0.009 0.909 0.326
O: 0.047 0.268 0.124
O: 0.055 0.447 0.735
O: 0.155 0.297 0.493
O: 0.242 0.864 0.783
O: 0.248 0.557 0.042
O: 0.288 0.743 0.517
O: 0.337 0.167 0.313
O: 0.348 0.925 0.095
O: 0.425 0.524 0.332
O: 0.428 0.100 0.637
O: 0.475 0.304 0.098
O: 0.525 0.696 0.902
O: 0.572 0.900 0.363
O: 0.575 0.476 0.668
O: 0.652 0.075 0.905
O: 0.663 0.833 0.687
O: 0.712 0.257 0.483
O: 0.752 0.443 0.958
O: 0.758 0.136 0.217
O: 0.845 0.703 0.507
O: 0.945 0.553 0.265
O: 0.953 0.732 0.876
O: 0.991 0.091 0.674

=====

VASP calculation (PBEsol) on crystalline CuMoO4 at its relaxed geometry.

The energy above the most stable polymorph in this dataset is 0.0 kJ/mol of formula units. The value obtained for the total energy is -366.8 eV per cell. The value obtained for the density is 4.942 g/cm3.

abc: 7.816 9.716 9.611
angles: 90.00 124.60 90.00
Element x y z (fractional)
Cu: 0.020 0.005 0.340
Cu: 0.020 0.495 0.840
Cu: 0.415 0.000 0.673
Cu: 0.415 0.500 0.173
Cu: 0.585 0.000 0.327
Cu: 0.585 0.500 0.827
Cu: 0.980 0.505 0.160
Cu: 0.980 0.995 0.660
Mo: 0.154 0.699 0.542
Mo: 0.154 0.801 0.042
Mo: 0.352 0.216 0.957
Mo: 0.352 0.284 0.457
Mo: 0.648 0.716 0.543
Mo: 0.648 0.784 0.043
Mo: 0.846 0.199 0.958
Mo: 0.846 0.301 0.458
O: 0.066 0.178 0.956
O: 0.066 0.322 0.456
O: 0.088 0.616 0.355
O: 0.088 0.884 0.855
O: 0.155 0.605 0.050
O: 0.155 0.895 0.550
O: 0.201 0.124 0.762
O: 0.201 0.376 0.262
O: 0.274 0.105 0.469
O: 0.274 0.395 0.969
O: 0.342 0.610 0.730
O: 0.342 0.890 0.230
O: 0.438 0.742 0.053
O: 0.438 0.758 0.553
O: 0.468 0.107 0.132
O: 0.468 0.393 0.632
O: 0.532 0.607 0.368
O: 0.532 0.893 0.868
O: 0.562 0.242 0.447
O: 0.562 0.258 0.947
O: 0.658 0.110 0.770
O: 0.658 0.390 0.270
O: 0.726 0.605 0.031
O: 0.726 0.895 0.531
O: 0.799 0.624 0.738
O: 0.799 0.876 0.238
O: 0.845 0.105 0.450
O: 0.845 0.395 0.950
O: 0.912 0.116 0.145
O: 0.912 0.384 0.645
O: 0.934 0.678 0.544
O: 0.934 0.822 0.044

=====

VASP calculation (PBEsol) on crystalline Cu3Mo2O9 at its relaxed geometry.

The energy above the most stable polymorph in this dataset is 0.0 kJ/mol of formula units. The value obtained for the total energy is -204.9 eV per cell. The value obtained for the density is 4.722 g/cm3.

abc: 7.216 7.748 8.037
angles: 66.25 89.72 66.40
Element x y z (fractional)
Cu: 0.062 0.160 0.472
Cu: 0.134 0.783 0.911
Cu: 0.292 0.906 0.272
Cu: 0.708 0.094 0.728
Cu: 0.866 0.217 0.089
Cu: 0.938 0.840 0.528
Mo: 0.200 0.287 0.812
Mo: 0.439 0.327 0.293
Mo: 0.561 0.673 0.707
Mo: 0.800 0.713 0.188
O: 0.024 0.021 0.333
O: 0.086 0.292 0.618
O: 0.120 0.544 0.781
O: 0.136 0.130 0.028
O: 0.254 0.592 0.164
O: 0.309 0.166 0.364
O: 0.390 0.761 0.844
O: 0.421 0.696 0.514
O: 0.466 0.177 0.825
O: 0.534 0.823 0.175
O: 0.579 0.304 0.486
O: 0.610 0.239 0.156
O: 0.691 0.834 0.636
O: 0.746 0.408 0.836
O: 0.864 0.870 0.972
O: 0.880 0.456 0.219
O: 0.914 0.708 0.382
O: 0.976 0.979 0.667

=====

VASP calculation (PBEsol) on crystalline Cu6Mo5O18 at its relaxed geometry.

The value obtained for the total energy is -443.5 eV per cell. The value obtained for the density is 5.755 g/cm3.

abc: 9.835 9.835 14.577
angles: 125.80 125.80 36.66
Element x y z (fractional)
Cu: 0.013 0.748 0.839
Cu: 0.109 0.210 0.913
Cu: 0.166 0.409 0.147
Cu: 0.210 0.109 0.413
Cu: 0.252 0.987 0.661
Cu: 0.409 0.166 0.647
Cu: 0.591 0.834 0.353
Cu: 0.748 0.013 0.339
Cu: 0.790 0.891 0.587
Cu: 0.834 0.591 0.853
Cu: 0.891 0.790 0.087
Cu: 0.987 0.252 0.161
Mo: 0.192 0.450 0.409
Mo: 0.315 0.685 0.750
Mo: 0.327 0.660 0.404
Mo: 0.340 0.673 0.096
Mo: 0.450 0.192 0.909
Mo: 0.550 0.808 0.091
Mo: 0.660 0.327 0.904
Mo: 0.673 0.340 0.596
Mo: 0.685 0.315 0.250
Mo: 0.808 0.550 0.591
O: 0.058 0.778 0.735
O: 0.077 0.362 0.562
O: 0.078 0.749 0.406
O: 0.082 0.790 0.091
O: 0.122 0.385 0.254
O: 0.174 0.356 0.925
O: 0.210 0.918 0.409
O: 0.222 0.942 0.765
O: 0.251 0.922 0.094
O: 0.331 0.508 0.927
O: 0.331 0.539 0.589
O: 0.341 0.499 0.251
O: 0.356 0.174 0.425
O: 0.362 0.077 0.062
O: 0.385 0.122 0.754
O: 0.461 0.669 0.911
O: 0.492 0.669 0.573
O: 0.499 0.341 0.751
O: 0.501 0.659 0.249
O: 0.508 0.331 0.427
O: 0.539 0.331 0.089
O: 0.615 0.878 0.246
O: 0.638 0.923 0.938
O: 0.644 0.826 0.575
O: 0.659 0.501 0.749
O: 0.669 0.461 0.411
O: 0.669 0.492 0.073
O: 0.749 0.078 0.906
O: 0.778 0.058 0.235
O: 0.790 0.082 0.591
O: 0.826 0.644 0.075
O: 0.878 0.615 0.746
O: 0.918 0.210 0.909
O: 0.922 0.251 0.594
O: 0.923 0.638 0.438
O: 0.942 0.222 0.265

=====

VASP calculation (PBEsol) on crystalline Cu3Mo2O9 at its relaxed geometry.

The energy above the most stable polymorph in this dataset is 16.3 kJ/mol of formula units. The value obtained for the total energy is -409.2 eV per cell. The value obtained for the density is 4.693 g/cm3.

abc: 7.540 6.828 14.475
angles: 90.00 90.00 90.00
Element x y z (fractional)
Cu: 0.000 0.000 0.000
Cu: 0.000 0.500 0.000
Cu: 0.172 0.250 0.148
Cu: 0.207 0.750 0.436
Cu: 0.293 0.250 0.936
Cu: 0.328 0.750 0.648
Cu: 0.500 0.000 0.500
Cu: 0.500 0.500 0.500
Cu: 0.672 0.250 0.352
Cu: 0.707 0.750 0.064
Cu: 0.793 0.250 0.564
Cu: 0.828 0.750 0.852
Mo: 0.170 0.250 0.392
Mo: 0.231 0.250 0.675
Mo: 0.269 0.750 0.175
Mo: 0.330 0.750 0.892
Mo: 0.670 0.250 0.108
Mo: 0.731 0.250 0.825
Mo: 0.769 0.750 0.325
Mo: 0.830 0.750 0.608
O: 0.027 0.250 0.614
O: 0.057 0.750 0.595
O: 0.087 0.250 0.022
O: 0.146 0.534 0.144
O: 0.146 0.966 0.144
O: 0.188 0.250 0.792
O: 0.227 0.250 0.275
O: 0.236 0.534 0.945
O: 0.236 0.966 0.945
O: 0.264 0.034 0.445
O: 0.264 0.466 0.445
O: 0.273 0.750 0.775
O: 0.312 0.750 0.292
O: 0.354 0.034 0.644
O: 0.354 0.466 0.644
O: 0.413 0.750 0.522
O: 0.443 0.250 0.095
O: 0.473 0.750 0.114
O: 0.527 0.250 0.886
O: 0.557 0.750 0.905
O: 0.587 0.250 0.478
O: 0.646 0.534 0.356
O: 0.646 0.966 0.356
O: 0.688 0.250 0.708
O: 0.727 0.250 0.225
O: 0.736 0.534 0.555
O: 0.736 0.966 0.555
O: 0.764 0.034 0.055
O: 0.764 0.466 0.055
O: 0.773 0.750 0.725
O: 0.812 0.750 0.208
O: 0.854 0.034 0.856
O: 0.854 0.466 0.856
O: 0.913 0.750 0.978
O: 0.943 0.250 0.405
O: 0.973 0.750 0.386

=====

VASP calculation (PBEsol) on crystalline CuMoP2O at its relaxed geometry.

The value obtained for the total energy is -32.8 eV per cell. The value obtained for the density is 4.789 g/cm3.

abc: 4.727 4.727 3.684
angles: 90.00 90.00 90.00
Element x y z (fractional)
Cu: 0.000 0.000 0.000
Mo: 0.500 0.500 0.500
P: 0.000 0.500 0.500
P: 0.500 0.000 0.500
O: 0.500 0.500 0.000

=====

VASP calculation (PBEsol) on crystalline Cu3MoSO9 at its relaxed geometry.

The value obtained for the total energy is -370.7 eV per cell. The value obtained for the density is 4.586 g/cm3.

abc: 7.383 6.805 13.337
angles: 90.00 90.00 90.00
Element x y z (fractional)
Cu: 0.000 0.000 0.000
Cu: 0.000 0.500 0.000
Cu: 0.154 0.250 0.169
Cu: 0.166 0.750 0.452
Cu: 0.334 0.250 0.952
Cu: 0.346 0.750 0.669
Cu: 0.500 0.000 0.500
Cu: 0.500 0.500 0.500
Cu: 0.654 0.250 0.331
Cu: 0.666 0.750 0.048
Cu: 0.834 0.250 0.548
Cu: 0.846 0.750 0.831
Mo: 0.245 0.250 0.699
Mo: 0.255 0.750 0.199
Mo: 0.745 0.250 0.801
Mo: 0.755 0.750 0.301
S: 0.178 0.250 0.411
S: 0.322 0.750 0.911
S: 0.678 0.250 0.089
S: 0.822 0.750 0.589
O: 0.023 0.750 0.584
O: 0.039 0.250 0.634
O: 0.103 0.250 0.027
O: 0.132 0.532 0.168
O: 0.132 0.968 0.168
O: 0.193 0.250 0.827
O: 0.243 0.250 0.306
O: 0.248 0.073 0.464
O: 0.248 0.427 0.464
O: 0.252 0.573 0.964
O: 0.252 0.927 0.964
O: 0.257 0.750 0.806
O: 0.307 0.750 0.327
O: 0.368 0.032 0.668
O: 0.368 0.468 0.668
O: 0.397 0.750 0.527
O: 0.461 0.750 0.134
O: 0.477 0.250 0.084
O: 0.523 0.750 0.916
O: 0.539 0.250 0.866
O: 0.603 0.250 0.473
O: 0.632 0.532 0.332
O: 0.632 0.968 0.332
O: 0.693 0.250 0.673
O: 0.743 0.250 0.194
O: 0.748 0.073 0.036
O: 0.748 0.427 0.036
O: 0.752 0.573 0.536
O: 0.752 0.927 0.536
O: 0.757 0.750 0.694
O: 0.807 0.750 0.173
O: 0.868 0.032 0.832
O: 0.868 0.468 0.832
O: 0.897 0.750 0.973
O: 0.961 0.750 0.366
O: 0.977 0.250 0.416

=====

VASP calculation (PBEsol) on crystalline CuSbMo2O8 at its relaxed geometry.

The value obtained for the total energy is -188.3 eV per cell. The value obtained for the density is 5.861 g/cm3.

abc: 11.093 11.093 5.530
angles: 100.22 100.22 25.33
Element x y z (fractional)
Cu: 0.000 0.500 0.000
Cu: 0.500 0.000 0.500
Sb: 0.200 0.800 0.250
Sb: 0.800 0.200 0.750
Mo: 0.121 0.604 0.730
Mo: 0.396 0.879 0.770
Mo: 0.604 0.121 0.230
Mo: 0.879 0.396 0.270
O: 0.036 0.859 0.884
O: 0.123 0.200 0.954
O: 0.141 0.964 0.616
O: 0.200 0.123 0.454
O: 0.213 0.365 0.723
O: 0.365 0.213 0.223
O: 0.365 0.428 0.523
O: 0.428 0.365 0.023
O: 0.572 0.635 0.977
O: 0.635 0.572 0.477
O: 0.635 0.787 0.777
O: 0.787 0.635 0.277
O: 0.800 0.877 0.546
O: 0.859 0.036 0.384
O: 0.877 0.800 0.046
O: 0.964 0.141 0.116

=====

VASP calculation (PBEsol) on crystalline CuSnMo2O at its relaxed geometry.

The value obtained for the total energy is -25.4 eV per cell. The value obtained for the density is 5.259 g/cm3.

abc: 5.184 5.184 4.584
angles: 90.00 90.00 90.00
Element x y z (fractional)
Cu: 0.000 0.000 0.000
Sn: 0.000 0.000 0.500
Mo: 0.000 0.500 0.500
Mo: 0.500 0.000 0.500
O: 0.500 0.500 0.000